No. 1
Computed, not measured: a relaxed structure of TeAs2Br at the PBE level of DFT.

```
TeAs2Br
1.0
-2.187 -3.819 -2.825
-2.809 -4.316 0.907
-7.549 -0.132 -1.277
Te Br As
1 1 2
Direct
0.750 0.750 0.750
0.250 0.250 0.250
0.966 0.966 0.900
0.534 0.534 0.600
```

The value obtained for the density of states at the Fermi level is 1.999 states/eV per cell. For the uncorrected formation energy, the calculation gives 0.1240 eV/atom. For the distance to the lowest polymorph of the same formula, the calculation gives 165 meV per atom.

---

No. 2
Computed, not measured: a relaxed structure of Al2InAg at the PBE level of DFT.

```
Al2InAg
1.0
-2.555 1.630 -4.248
-5.102 0.349 1.036
4.200 1.859 2.476
Al In Ag
2 1 1
Direct
0.250 0.750 0.500
0.000 0.000 0.000
0.500 0.500 0.000
0.750 0.250 0.500
```

The value obtained for the density of states at the Fermi level is 1.084 states/eV per cell. As for the energy of formation from the pure elements: 0.122 eV/atom.